Density functional theory data (PBE) for a geometry-optimized UZnPd structure.

```
data_UZnPd
_chemical_formula_sum 'U1 Zn1 Pd1'
_space_group_name_H-M_alt 'P 1'
_space_group_IT_number 1
_cell_length_a 4.683
_cell_length_b 4.683
_cell_length_c 4.683
_cell_angle_alpha 60.00
_cell_angle_beta 60.00
_cell_angle_gamma 60.00
loop_
_space_group_symop_operation_xyz
'x,y,z'
loop_
_atom_site_label
_atom_site_type_symbol
_atom_site_fract_x
_atom_site_fract_y
_atom_site_fract_z
_atom_site_occupancy
U1 U 0.000 0.000 0.000 1
Zn1 Zn 0.750 0.750 0.750 1
Pd1 Pd 0.250 0.250 0.250 1
```

Computed properties:
* ΔE_f: 0.564 eV per atom
* density: 9.37 Mg/m³
* space group: F-43m

---

Density functional theory data (PBE) for a geometry-optimized SmDyBrNCl2 structure.

```
data_SmDyBrNCl2
_chemical_formula_sum 'Sm2 Dy2 Br2 N2 Cl4'
_space_group_name_H-M_alt 'P 1'
_space_group_IT_number 1
_cell_length_a 9.116
_cell_length_b 9.116
_cell_length_c 11.400
_cell_angle_alpha 122.58
_cell_angle_beta 122.58
_cell_angle_gamma 24.60
loop_
_space_group_symop_operation_xyz
'x,y,z'
loop_
_atom_site_label
_atom_site_type_symbol
_atom_site_fract_x
_atom_site_fract_y
_atom_site_fract_z
_atom_site_occupancy
Sm1 Sm 0.137 0.137 0.286 1
Sm2 Sm 0.863 0.863 0.714 1
Dy1 Dy 0.424 0.424 0.040 1
Dy2 Dy 0.576 0.576 0.960 1
Br1 Br 0.336 0.336 0.485 1
Br2 Br 0.664 0.664 0.515 1
N1 N 0.426 0.426 0.848 1
N2 N 0.574 0.574 0.152 1
Cl1 Cl 0.039 0.039 0.763 1
Cl2 Cl 0.204 0.204 0.107 1
Cl3 Cl 0.796 0.796 0.893 1
Cl4 Cl 0.961 0.961 0.237 1
```

Computed properties:
* density: 4.82 Mg/m³
* space group: C2/m
* ΔE to the lowest computed polymorph: 0 meV per atom

---

Density functional theory data (PBE) for a geometry-optimized Lu4GaN3 structure.

```
data_Lu4GaN3
_chemical_formula_sum 'Lu8 Ga2 N6'
_space_group_name_H-M_alt 'P 1'
_space_group_IT_number 1
_cell_length_a 3.364
_cell_length_b 3.364
_cell_length_c 25.485
_cell_angle_alpha 90.00
_cell_angle_beta 90.00
_cell_angle_gamma 120.00
loop_
_space_group_symop_operation_xyz
'x,y,z'
loop_
_atom_site_label
_atom_site_type_symbol
_atom_site_fract_x
_atom_site_fract_y
_atom_site_fract_z
_atom_site_occupancy
Lu1 Lu 0.000 0.000 0.158 1
Lu2 Lu 0.000 0.000 0.342 1
Lu3 Lu 0.000 0.000 0.658 1
Lu4 Lu 0.000 0.000 0.842 1
Lu5 Lu 0.333 0.667 0.052 1
Lu6 Lu 0.333 0.667 0.448 1
Lu7 Lu 0.667 0.333 0.552 1
Lu8 Lu 0.667 0.333 0.948 1
Ga1 Ga 0.333 0.667 0.250 1
Ga2 Ga 0.667 0.333 0.750 1
N1 N 0.000 0.000 0.000 1
N2 N 0.000 0.000 0.500 1
N3 N 0.333 0.667 0.609 1
N4 N 0.333 0.667 0.891 1
N5 N 0.667 0.333 0.109 1
N6 N 0.667 0.333 0.391 1
```

Computed properties:
* E_tot: -116.5 eV for the cell shown
* density: 10.79 Mg/m³
* space group: P6_3/mmc

---

Density functional theory data (PBE) for a geometry-optimized Na2PuCl6 structure.

```
data_Na2PuCl6
_chemical_formula_sum 'Na4 Pu2 Cl12'
_space_group_name_H-M_alt 'P 1'
_space_group_IT_number 1
_cell_length_a 6.466
_cell_length_b 6.466
_cell_length_c 12.312
_cell_angle_alpha 90.00
_cell_angle_beta 90.00
_cell_angle_gamma 90.00
loop_
_space_group_symop_operation_xyz
'x,y,z'
loop_
_atom_site_label
_atom_site_type_symbol
_atom_site_fract_x
_atom_site_fract_y
_atom_site_fract_z
_atom_site_occupancy
Na1 Na 0.000 0.000 0.166 1
Na2 Na 0.000 0.000 0.834 1
Na3 Na 0.500 0.500 0.334 1
Na4 Na 0.500 0.500 0.666 1
Pu1 Pu 0.000 0.000 0.500 1
Pu2 Pu 0.500 0.500 0.000 1
Cl1 Cl 0.193 0.193 0.345 1
Cl2 Cl 0.193 0.193 0.655 1
Cl3 Cl 0.215 0.215 0.000 1
Cl4 Cl 0.285 0.715 0.500 1
Cl5 Cl 0.307 0.693 0.155 1
Cl6 Cl 0.307 0.693 0.845 1
Cl7 Cl 0.693 0.307 0.155 1
Cl8 Cl 0.693 0.307 0.845 1
Cl9 Cl 0.715 0.285 0.500 1
Cl10 Cl 0.785 0.785 0.000 1
Cl11 Cl 0.807 0.807 0.345 1
Cl12 Cl 0.807 0.807 0.655 1
```

Computed properties:
* E_tot: -87.5 eV for the cell shown
* density: 3.24 Mg/m³
* space group: P4_2/mnm

---

Density functional theory data (PBE) for a geometry-optimized HoCuSn structure.

```
data_HoCuSn
_chemical_formula_sum 'Ho2 Cu2 Sn2'
_space_group_name_H-M_alt 'P 1'
_space_group_IT_number 1
_cell_length_a 5.052
_cell_length_b 5.052
_cell_length_c 6.038
_cell_angle_alpha 90.00
_cell_angle_beta 90.00
_cell_angle_gamma 120.00
loop_
_space_group_symop_operation_xyz
'x,y,z'
loop_
_atom_site_label
_atom_site_type_symbol
_atom_site_fract_x
_atom_site_fract_y
_atom_site_fract_z
_atom_site_occupancy
Ho1 Ho 0.333 0.667 0.250 1
Ho2 Ho 0.667 0.333 0.750 1
Cu1 Cu 0.000 0.000 0.000 1
Cu2 Cu 0.000 0.000 0.500 1
Sn1 Sn 0.333 0.667 0.750 1
Sn2 Sn 0.667 0.333 0.250 1
```

Computed properties:
* E_tot: -25.9 eV for the cell shown
* density: 8.64 Mg/m³
* space group: P6_3/mmc

---

Density functional theory data (PBE) for a geometry-optimized PrHoBe2Si2 structure.

```
data_PrHoBe2Si2
_chemical_formula_sum 'Pr1 Ho1 Be2 Si2'
_space_group_name_H-M_alt 'P 1'
_space_group_IT_number 1
_cell_length_a 3.915
_cell_length_b 3.915
_cell_length_c 8.286
_cell_angle_alpha 90.00
_cell_angle_beta 90.00
_cell_angle_gamma 120.00
loop_
_space_group_symop_operation_xyz
'x,y,z'
loop_
_atom_site_label
_atom_site_type_symbol
_atom_site_fract_x
_atom_site_fract_y
_atom_site_fract_z
_atom_site_occupancy
Pr1 Pr 0.000 0.000 0.000 1
Ho1 Ho 0.000 0.000 0.500 1
Be1 Be 0.333 0.667 0.738 1
Be2 Be 0.667 0.333 0.262 1
Si1 Si 0.333 0.667 0.262 1
Si2 Si 0.667 0.333 0.738 1
```

Computed properties:
* E_tot: -31.4 eV for the cell shown
* density: 5.74 Mg/m³
* space group: P-3m1